An optimized crystal structure of ZnCoAs2O6. Source: Alexandria, functional PBE with a Hubbard U.

Its density is 3.7 g/cm3. The spin magnetization comes out at 3.00 μB/f.u. For the total energy, the calculation gives -5.609 eV per atom.

The structure belongs to space group C2/c (No. 15); the cell edges are 11.476, 11.068 and 6.257 Å and the angles 90.00°, 122.81° and 90.00°. The inequivalent atoms are Zn at (0.000, 0.248, 0.250), Co at (0.000, 0.248, 0.750), As at (0.248, 0.420, 0.284), O at (0.102, 0.174, 0.604), O at (0.102, 0.321, 0.099) and O at (0.247, 0.465, 0.578).